VASP calculation (PBE) on a geometry-optimized BeCdRu4 structure.

Structure (POSCAR):
```
BeCdRu4
1.0
0.000 3.615 3.615
3.615 0.000 3.615
3.615 3.615 0.000
Be Cd Ru
1 1 4
direct
0.000 0.000 0.000
0.250 0.250 0.250
0.124 0.625 0.625
0.625 0.124 0.625
0.625 0.625 0.124
0.625 0.625 0.625
```

Calculated values
* DOS at the Fermi energy: 6.41 states/eV/f.u.
* VASP energy: -6.315 eV per atom
* calculated density: 9.2 g/cm3

***

VASP calculation (PBE) on a geometry-optimized BeCdRu2 structure.

Structure (POSCAR):
```
BeCdRu2
1.0
2.615 -3.932 0.000
2.615 3.932 0.000
0.000 0.000 2.846
Be Cd Ru
1 1 2
direct
0.000 0.000 0.000
0.500 0.500 0.000
0.000 0.500 0.500
0.500 0.000 0.500
```

Calculated values
* DOS at the Fermi energy: 4.14 states/eV/f.u.
* calculated density: 9.2 g/cm3
* excess energy over the best structure of this formula in the dataset: 0.4568 eV/atom

***

Question: The lowest DOS at the Fermi energy belongs to which entry?
Answer: BeCdRu2